Entry 1:
{
  "formula": "CaSiCl",
  "functional": "GGA-PBE",
  "state": "relaxed",
  "lattice": [[3.668, 0.000, 0.000], [-1.834, 3.176, 0.000], [0.000, 0.000, 7.957]],
  "species": ["Ca", "Si", "Cl"],
  "frac_coords": [[0.000, 0.000, 0.000], [0.333, 0.667, 0.711], [0.667, 0.333, 0.205]],
  "raw_formation_energy_ev_per_atom": -0.522,
  "n_ef_per_ev_atom": 0.403,
  "e_tot_ev_per_atom": -3.61,
  "space_group": "P3m1, No. 156",
  "vol_a3_per_cell": 92.7
}

Entry 2:
{
  "formula": "CaSiCl",
  "functional": "GGA-PBE",
  "state": "relaxed",
  "lattice": [[0.000, 3.578, 3.578], [3.578, 0.000, 3.578], [3.578, 3.578, 0.000]],
  "species": ["Ca", "Si", "Cl"],
  "frac_coords": [[0.000, 0.000, 0.000], [0.750, 0.750, 0.750], [0.250, 0.250, 0.250]],
  "raw_formation_energy_ev_per_atom": -0.196,
  "n_ef_per_ev_atom": 0.306,
  "e_tot_ev_per_atom": -3.29,
  "space_group": "F-43m, No. 216",
  "vol_a3_per_cell": 91.6
}